SrLi2NiGe | PBE-GGA | relaxed

Computed properties:
The calculation puts the energy relative to the elements at -231.8 meV/atom. The volume is 20.8 Å³ per atom.

abc: 4.7971 4.7971 4.5198
angles: 90.00 90.00 90.00
Fractional coordinates of all 5 atoms:
Sr: 0.0000 0.0000 0.0000
Li: 0.0000 0.5000 0.5000
Li: 0.5000 0.0000 0.5000
Ni: 0.5000 0.5000 0.5000
Ge: 0.5000 0.5000 0.0000